1.
Here is a geometry-optimized CrIrOs2 structure from the Alexandria database. Energies are from PBEsol.

The formation energy comes out at 0.44 eV per atom. As for the crystal system: tetragonal. The energy above the lowest structure with this stoichiometry comes out at 420 meV per atom.

The space group is P4mm (No. 99) and the conventional cell measures 3.113, 3.113 and 5.665 Å, with angles of 90.00, 90.00 and 90.00 degrees. The distinct sites, in fractional coordinates, are Cr at (0.000, 0.000, 0.000), Ir at (0.500, 0.500, 0.185), Os at (0.000, 0.000, 0.458) and Os at (0.500, 0.500, 0.733).


2.
Here is a geometry-optimized Sb4Te3Se3 structure from the Alexandria database. Energies are from PBEsol.

The value obtained for the raw formation energy is -204 meV per atom. As for the crystal system: monoclinic.

The space group is Cm (No. 8) and the conventional cell measures 19.634, 4.143 and 7.169 Å, with angles of 90.00, 97.07 and 90.00 degrees. The distinct sites, in fractional coordinates, are Sb at (0.000, 0.000, 0.000), Sb at (0.001, 0.500, 0.490), Sb at (0.316, 0.500, 0.600), Sb at (0.319, 0.000, 0.100), Te at (0.091, 0.000, 0.691), Te at (0.227, 0.000, 0.400), Te at (0.227, 0.500, 0.907), Se at (0.078, 0.500, 0.189), Se at (0.409, 0.500, 0.299) and Se at (0.410, 0.000, 0.798).


3.
Here is a geometry-optimized SiPRu2 structure from the Alexandria database. Energies are from PBEsol.

The value obtained for the raw formation energy is -485 meV per atom. As for the crystal system: tetragonal.

The space group is P4/mmm (No. 123) and the conventional cell measures 2.918, 2.918 and 5.816 Å, with angles of 90.00, 90.00 and 90.00 degrees. The distinct sites, in fractional coordinates, are Si at (0.000, 0.000, 0.000), P at (0.000, 0.000, 0.500) and Ru at (0.500, 0.500, 0.249).


4.
Here is a geometry-optimized CaTlAs structure from the Alexandria database. Energies are from PBEsol.

The formation energy comes out at -0.44 eV per atom. As for the crystal system: tetragonal.

The space group is I4mm (No. 107) and the conventional cell measures 3.838, 3.838 and 10.059 Å, with angles of 90.00, 90.00 and 90.00 degrees. The distinct sites, in fractional coordinates, are Ca at (0.000, 0.000, 0.000), Tl at (0.000, 0.000, 0.306) and As at (0.000, 0.000, 0.666).


5.
Here is a geometry-optimized BaMgBiF7 structure from the Alexandria database. Energies are from PBEsol.

The value obtained for the raw formation energy is -3207 meV per atom. As for the crystal system: monoclinic.

The space group is P2_1/c (No. 14) and the conventional cell measures 5.615, 10.814 and 9.607 Å, with angles of 90.00, 93.82 and 90.00 degrees. The distinct sites, in fractional coordinates, are Ba at (0.249, 0.154, 0.028), Mg at (0.209, 0.650, 0.792), Bi at (0.273, 0.577, 0.134), F at (0.004, 0.708, 0.226), F at (0.072, 0.113, 0.588), F at (0.090, 0.551, 0.637), F at (0.320, 0.731, 0.972), F at (0.353, 0.001, 0.388), F at (0.399, 0.515, 0.348) and F at (0.480, 0.746, 0.226).


6.
Here is a geometry-optimized KZr2Sb structure from the Alexandria database. Energies are from PBEsol.

The value obtained for the raw formation energy is 207 meV per atom. As for the crystal system: orthorhombic.

The space group is Cmmm (No. 65) and the conventional cell measures 4.157, 5.160 and 10.556 Å, with angles of 90.00, 90.00 and 90.00 degrees. The distinct sites, in fractional coordinates, are K at (0.000, 0.000, 0.000), Zr at (0.000, 0.500, 0.319) and Sb at (0.000, 0.000, 0.500).


7.
Here is a geometry-optimized ZrHg2 structure from the Alexandria database. Energies are from PBEsol.

The formation energy comes out at -0.14 eV per atom. As for the crystal system: tetragonal.

The space group is I4_1/amd (No. 141, origin choice 2) and the conventional cell measures 3.100, 3.100 and 26.747 Å, with angles of 90.00, 90.00 and 90.00 degrees. The distinct sites, in fractional coordinates, are Zr at (0.000, 0.250, 0.375) and Hg at (0.000, 0.250, 0.796).


8.
Here is a geometry-optimized CsMgAlF6 structure from the Alexandria database. Energies are from PBEsol.

The value obtained for the raw formation energy is -3484 meV per atom. As for the crystal system: orthorhombic.

The space group is Imma (No. 74) and the conventional cell measures 7.051, 7.188 and 10.055 Å, with angles of 90.00, 90.00 and 90.00 degrees. The distinct sites, in fractional coordinates, are Cs at (0.000, 0.250, 0.125), Mg at (0.000, 0.000, 0.500), Al at (0.250, 0.250, 0.750), F at (0.000, 0.250, 0.422), F at (0.000, 0.250, 0.802) and F at (0.204, 0.072, 0.628).


9.
Here is a geometry-optimized Ho4Ga16Co3 structure from the Alexandria database. Energies are from PBEsol.

The formation energy comes out at -0.57 eV per atom. As for the crystal system: tetragonal.

The space group is P4/mmm (No. 123) and the conventional cell measures 5.911, 5.911 and 10.888 Å, with angles of 90.00, 90.00 and 90.00 degrees. The distinct sites, in fractional coordinates, are Ho at (0.000, 0.500, 0.195), Ga at (0.000, 0.000, 0.195), Ga at (0.220, 0.220, 0.000), Ga at (0.250, 0.250, 0.384), Ga at (0.500, 0.500, 0.218), Co at (0.000, 0.500, 0.500) and Co at (0.500, 0.500, 0.000).


10.
Here is a geometry-optimized RbBaTl2 structure from the Alexandria database. Energies are from PBEsol.

The formation energy comes out at -0.17 eV per atom. As for the crystal system: cubic.

The space group is Fm-3m (No. 225) and the conventional cell measures 8.425, 8.425 and 8.425 Å, with angles of 90.00, 90.00 and 90.00 degrees. The distinct sites, in fractional coordinates, are Rb at (0.000, 0.000, 0.000), Ba at (0.000, 0.000, 0.500) and Tl at (0.250, 0.250, 0.250).


11.
Here is a geometry-optimized Sc2CdCo structure from the Alexandria database. Energies are from PBEsol.

The formation energy comes out at -0.19 eV per atom. As for the crystal system: tetragonal.

The space group is P4/mmm (No. 123) and the conventional cell measures 4.622, 4.622 and 3.344 Å, with angles of 90.00, 90.00 and 90.00 degrees. The distinct sites, in fractional coordinates, are Sc at (0.000, 0.500, 0.000), Cd at (0.000, 0.000, 0.500) and Co at (0.500, 0.500, 0.500).


12.
Here is a geometry-optimized Ba2TiVS6 structure from the Alexandria database. Energies are from PBEsol.

The value obtained for the raw formation energy is -1566 meV per atom. As for the crystal system: trigonal.

The space group is P-3m1 (No. 164) and the conventional cell measures 6.6681, 6.6681 and 5.5701 Å, with angles of 90.00, 90.00 and 120.00 degrees. The distinct sites, in fractional coordinates, are Ba at (0.3333, 0.6667, 0.2521), Ti at (0.0000, 0.0000, 0.0000), V at (0.0000, 0.0000, 0.5000) and S at (0.1674, 0.3348, 0.7428).


How do the records compare in Fermi-level density of states? In the order shown, they have 1.174, 0.004, 0.419, 0.511, 0.000, 0.810, 0.795, 0.000, 0.188, 0.804, 0.761, 0.283 states/eV per atom.
How do the records compare in final energy? In the order shown, they have -0.7852, -0.3117, -0.6215, -0.2741, -0.3948, -0.4234, -0.2609, -0.4056, -0.3501, -0.1673, -0.4207, -0.4720 Ry per atom.
How do the records compare in total moment? In the order shown, they have 0.000, 0.000, 0.000, 0.000, 0.000, 0.000, 0.000, 0.010, 0.000, 0.000, 0.074, 0.015 μB per atom.